Material: La2MgSiN
Method: DFT, GGA-PBE
State: relaxed

Values from the calculation:
- V (Å³ per cell) = 111
- E_form (uncorrected) (eV per atom) = -0.7501

abc: 5.0836 5.0836 4.2929
angles: 90.00 90.00 90.00
With the nearest neighbours (Å) after each atom.
Space group P4/mmm (No. 123)
Asymmetric unit:
La (0.0000, 0.5000, 0.0000) [2 per cell]  2 N 2.54
Mg (0.0000, 0.0000, 0.5000) [1 per cell]  2 N 2.15
Si (0.5000, 0.5000, 0.5000) [1 per cell]  8 La 3.33, 4 Mg 3.59
N (0.0000, 0.0000, 0.0000) [1 per cell]  2 Mg 2.15

---

Material: LaSm2MgN
Method: DFT, GGA-PBE
State: relaxed

Values from the calculation:
- V (Å³ per cell) = 130
- E_form (uncorrected) (eV per atom) = -0.6185

abc: 5.0156 5.0156 5.1596
angles: 90.00 90.00 90.00
With the nearest neighbours (Å) after each atom.
Space group P4/mmm (No. 123)
Asymmetric unit:
La (0.0000, 0.0000, 0.0000) [1 per cell]  2 N 2.58
Sm (0.0000, 0.5000, 0.5000) [2 per cell]  2 N 2.51
Mg (0.5000, 0.5000, 0.0000) [1 per cell]  4 La 3.55, 8 Sm 3.60
N (0.0000, 0.0000, 0.5000) [1 per cell]  4 Sm 2.51, 2 La 2.58

---

Material: La12MgSn4N3
Method: DFT, GGA-PBE
State: relaxed

Values from the calculation:
- V (Å³ per cell) = 1167
- E_form (uncorrected) (eV per atom) = -0.6694

abc: 10.5289 10.5289 10.5289
angles: 90.00 90.00 90.00
With the nearest neighbours (Å) after each atom.
Space group Im-3m (No. 229)
Asymmetric unit:
La (0.0000, 0.0000, 0.2770) [12 per cell]  1 N 2.35
La (0.0000, 0.2500, 0.5000) [12 per cell]  2 N 2.63
Mg (0.0000, 0.0000, 0.0000) [2 per cell]  6 La 2.92
Sn (0.2500, 0.2500, 0.2500) [8 per cell]  12 La 3.72-3.73
N (0.0000, 0.0000, 0.5000) [6 per cell]  2 La 2.35

---

Material: La2MgSnN
Method: DFT, GGA-PBE
State: relaxed

Values from the calculation:
- V (Å³ per cell) = 120
- E_form (uncorrected) (eV per atom) = -0.8714

abc: 5.1425 5.1425 4.5258
angles: 90.00 90.00 90.00
With the nearest neighbours (Å) after each atom.
Space group P4/mmm (No. 123)
Asymmetric unit:
La (0.0000, 0.5000, 0.0000) [2 per cell]  2 N 2.57
Mg (0.0000, 0.0000, 0.5000) [1 per cell]  2 N 2.26
Sn (0.5000, 0.5000, 0.5000) [1 per cell]  8 La 3.43, 4 Mg 3.64
N (0.0000, 0.0000, 0.0000) [1 per cell]  2 Mg 2.26

---

Material: SrLa2MgN
Method: DFT, GGA-PBE
State: relaxed

Values from the calculation:
- V (Å³ per cell) = 144
- E_form (uncorrected) (eV per atom) = -0.4987

abc: 5.1198 5.1198 5.5001
angles: 90.00 90.00 90.00
With the nearest neighbours (Å) after each atom.
Space group P4/mmm (No. 123)
Asymmetric unit:
Sr (0.0000, 0.0000, 0.0000) [1 per cell]  2 N 2.75
La (0.0000, 0.5000, 0.5000) [2 per cell]  2 N 2.56
Mg (0.5000, 0.5000, 0.0000) [1 per cell]  4 Sr 3.62, 8 La 3.76
N (0.0000, 0.0000, 0.5000) [1 per cell]  4 La 2.56, 2 Sr 2.75

---

Material: La2MgTaN
Method: DFT, GGA-PBE
State: relaxed

Values from the calculation:
- V (Å³ per cell) = 118
- E_form (uncorrected) (eV per atom) = -0.4802

abc: 5.3562 5.3562 4.1173
angles: 90.00 90.00 90.00
With the nearest neighbours (Å) after each atom.
Space group P4/mmm (No. 123)
Asymmetric unit:
La (0.0000, 0.5000, 0.0000) [2 per cell]  2 N 2.68
Mg (0.0000, 0.0000, 0.5000) [1 per cell]  8 La 3.38
Ta (0.5000, 0.5000, 0.5000) [1 per cell]  2 N 2.06
N (0.5000, 0.5000, 0.0000) [1 per cell]  2 Ta 2.06

---

Material: La2MgTcN
Method: DFT, GGA-PBE
State: relaxed

Values from the calculation:
- V (Å³ per cell) = 112
- E_form (uncorrected) (eV per atom) = -0.5147
- excess energy over the best structure of this formula in the dataset (meV/atom) = 0

abc: 5.3208 5.3208 3.9430
angles: 90.00 90.00 90.00
With the nearest neighbours (Å) after each atom.
Space group P4/mmm (No. 123)
Asymmetric unit:
La (0.0000, 0.5000, 0.0000) [2 per cell]  2 N 2.66
Mg (0.0000, 0.0000, 0.5000) [1 per cell]  8 La 3.31
Tc (0.5000, 0.5000, 0.5000) [1 per cell]  2 N 1.97
N (0.5000, 0.5000, 0.0000) [1 per cell]  2 Tc 1.97

---

Material: La2MgTcN
Method: DFT, GGA-PBE
State: relaxed

Values from the calculation:
- V (Å³ per cell) = 120
- E_form (uncorrected) (eV per atom) = 0.8820
- excess energy over the best structure of this formula in the dataset (meV/atom) = 1397

abc: 5.7322 5.7322 3.6433
angles: 90.00 90.00 90.00
With the nearest neighbours (Å) after each atom.
Space group P4/mmm (No. 123)
Asymmetric unit:
La (0.0000, 0.5000, 0.0000) [2 per cell]  2 Mg 2.87
Mg (0.0000, 0.0000, 0.0000) [1 per cell]  2 N 1.82
Tc (0.5000, 0.5000, 0.5000) [1 per cell]  8 La 3.40, 2 Tc 3.64
N (0.0000, 0.0000, 0.5000) [1 per cell]  2 Mg 1.82

---

Material: LaMgTcN3
Method: DFT, GGA-PBE
State: relaxed

Values from the calculation:
- V (Å³ per cell) = 157
- E_form (uncorrected) (eV per atom) = -0.6782

abc: 6.0006 3.2827 8.3581
angles: 90.00 107.41 90.00
With the nearest neighbours (Å) after each atom.
Space group P2_1/m (No. 11)
Asymmetric unit:
La (0.0261, 0.2500, 0.2197) [2 per cell]  7 N 2.48-2.76
Mg (0.3796, 0.7500, 0.5839) [2 per cell]  5 N 2.11-2.29
Tc (0.4870, 0.7500, 0.1183) [2 per cell]  5 N 2.05-2.14
N (0.2168, 0.2500, 0.6806) [2 per cell]  1 Tc 2.05, 2 Mg 2.18
N (0.2675, 0.2500, 0.0163) [2 per cell]  3 Tc 2.10-2.12
N (0.3468, 0.7500, 0.3251) [2 per cell]  3 Mg 2.11-2.29, 1 Tc 2.14

---

Material: LaMg2TiN4
Method: DFT, GGA-PBE
State: relaxed

Values from the calculation:
- V (Å³ per cell) = 238
- E_form (uncorrected) (eV per atom) = -0.9767

abc: 7.2745 6.0121 5.4512
angles: 90.00 90.00 90.00
With the nearest neighbours (Å) after each atom.
Space group Pmn2_1 (No. 31)
Asymmetric unit:
La (0.0000, 0.1721, 0.0000) [2 per cell]  4 N 2.35-2.54
Mg (0.2493, 0.3326, 0.5140) [4 per cell]  4 N 2.10-2.19
Ti (0.0000, 0.8111, 0.5220) [2 per cell]  4 N 1.91-1.97
N (0.0000, 0.1340, 0.4642) [2 per cell]  1 Ti 1.97, 2 Mg 2.19
N (0.0000, 0.7939, 0.8714) [2 per cell]  1 Ti 1.91, 2 Mg 2.12
N (0.2163, 0.6634, 0.3989) [4 per cell]  1 Ti 1.93, 2 Mg 2.10-2.11

---

Material: La2MgUN4
Method: DFT, GGA-PBE
State: relaxed

Values from the calculation:
- V (Å³ per cell) = 122
- E_form (uncorrected) (eV per atom) = -1.1943

abc: 5.7658 3.5699 6.2292
angles: 90.00 107.57 90.00
With the nearest neighbours (Å) after each atom.
Space group P2/m (No. 10)
Asymmetric unit:
La (0.0000, 0.0000, 0.0000) [1 per cell]  6 N 2.70-2.71
La (0.5000, 0.5000, 0.0000) [1 per cell]  6 N 2.57-2.60
Mg (0.0000, 0.5000, 0.5000) [1 per cell]  6 N 2.30-2.46
U (0.5000, 0.0000, 0.5000) [1 per cell]  6 N 2.14-2.34
N (0.2666, 0.0000, 0.7107) [2 per cell]  1 U 2.14
N (0.2745, 0.5000, 0.2981) [2 per cell]  1 Mg 2.30, 2 U 2.34, 1 La 2.57

---

Material: LaMg2UN4
Method: DFT, GGA-PBE
State: relaxed

Values from the calculation:
- V (Å³ per cell) = 113
- E_form (uncorrected) (eV per atom) = -1.0389

abc: 5.6990 3.4556 6.2461
angles: 90.00 113.47 90.00
With the nearest neighbours (Å) after each atom.
Space group P2/m (No. 10)
Asymmetric unit:
La (0.0000, 0.0000, 0.0000) [1 per cell]  6 N 2.50-2.56
Mg (0.5000, 0.0000, 0.5000) [1 per cell]  6 N 2.32-2.44
Mg (0.5000, 0.5000, 0.0000) [1 per cell]  4 N 2.40
U (0.0000, 0.5000, 0.5000) [1 per cell]  6 N 2.15-2.37
N (0.2307, 0.5000, 0.2980) [2 per cell]  1 U 2.15, 2 Mg 2.32
N (0.2543, 0.0000, 0.7419) [2 per cell]  2 U 2.37, 3 Mg 2.40-2.44, 1 La 2.56

---

Material: La2MgVN
Method: DFT, GGA-PBE
State: relaxed

Values from the calculation:
- V (Å³ per cell) = 114
- E_form (uncorrected) (eV per atom) = -0.5321

abc: 5.3919 5.3919 3.9114
angles: 90.00 90.00 90.00
With the nearest neighbours (Å) after each atom.
Space group P4/mmm (No. 123)
Asymmetric unit:
La (0.0000, 0.5000, 0.0000) [2 per cell]  2 N 2.70
Mg (0.0000, 0.0000, 0.5000) [1 per cell]  8 La 3.33
V (0.5000, 0.5000, 0.5000) [1 per cell]  2 N 1.96
N (0.5000, 0.5000, 0.0000) [1 per cell]  2 V 1.96

---

Material: LaY2MgN
Method: DFT, GGA-PBE
State: relaxed

Values from the calculation:
- V (Å³ per cell) = 124
- E_form (uncorrected) (eV per atom) = -0.6672

abc: 4.8964 4.8964 5.1770
angles: 90.00 90.00 90.00
With the nearest neighbours (Å) after each atom.
Space group P4/mmm (No. 123)
Asymmetric unit:
La (0.0000, 0.0000, 0.0000) [1 per cell]  2 N 2.59
Y (0.0000, 0.5000, 0.5000) [2 per cell]  2 N 2.45
Mg (0.5000, 0.5000, 0.0000) [1 per cell]  4 La 3.46, 8 Y 3.56
N (0.0000, 0.0000, 0.5000) [1 per cell]  4 Y 2.45, 2 La 2.59

---

Material: La2YMgN
Method: DFT, GGA-PBE
State: relaxed

Values from the calculation:
- V (Å³ per cell) = 132
- E_form (uncorrected) (eV per atom) = -0.6432

abc: 5.2434 5.2434 4.7876
angles: 90.00 90.00 90.00
With the nearest neighbours (Å) after each atom.
Space group P4/mmm (No. 123)
Asymmetric unit:
La (0.0000, 0.5000, 0.0000) [2 per cell]  2 N 2.62
Y (0.0000, 0.0000, 0.5000) [1 per cell]  2 N 2.39
Mg (0.5000, 0.5000, 0.5000) [1 per cell]  8 La 3.55, 4 Y 3.71
N (0.0000, 0.0000, 0.0000) [1 per cell]  2 Y 2.39, 4 La 2.62

---

Material: La2MgZnN
Method: DFT, GGA-PBE
State: relaxed

Values from the calculation:
- V (Å³ per cell) = 114
- E_form (uncorrected) (eV per atom) = -0.5909

abc: 5.1639 5.1639 4.2802
angles: 90.00 90.00 90.00
With the nearest neighbours (Å) after each atom.
Space group P4/mmm (No. 123)
Asymmetric unit:
La (0.0000, 0.5000, 0.0000) [2 per cell]  2 N 2.58
Mg (0.0000, 0.0000, 0.5000) [1 per cell]  2 N 2.14
Zn (0.5000, 0.5000, 0.5000) [1 per cell]  8 La 3.35, 4 Mg 3.65
N (0.0000, 0.0000, 0.0000) [1 per cell]  2 Mg 2.14

---

Material: La2MgZrN
Method: DFT, GGA-PBE
State: relaxed

Values from the calculation:
- V (Å³ per cell) = 123
- E_form (uncorrected) (eV per atom) = -0.6006

abc: 5.2895 5.2895 4.4134
angles: 90.00 90.00 90.00
With the nearest neighbours (Å) after each atom.
Space group P4/mmm (No. 123)
Asymmetric unit:
La (0.0000, 0.5000, 0.0000) [2 per cell]  2 N 2.64
Mg (0.0000, 0.0000, 0.5000) [1 per cell]  8 La 3.44, 4 Zr 3.74
Zr (0.5000, 0.5000, 0.5000) [1 per cell]  2 N 2.21
N (0.5000, 0.5000, 0.0000) [1 per cell]  2 Zr 2.21

---

Material: NaLaMg2
Method: DFT, GGA-PBE
State: relaxed

Values from the calculation:
- V (Å³ per cell) = 508
- excess energy over the best structure of this formula in the dataset (meV/atom) = 323

abc: 4.7143 4.7143 22.8505
angles: 90.00 90.00 90.00
With the nearest neighbours (Å) after each atom.
Space group I-42d (No. 122)
Asymmetric unit:
Na (0.0000, 0.0000, 0.0000) [4 per cell]  4 Mg 3.25, 4 La 3.33
La (0.0000, 0.0000, 0.5000) [4 per cell]  4 Na 3.33, 4 Mg 3.37
Mg (0.2131, 0.2500, 0.1250) [8 per cell]  2 Mg 3.10, 2 Na 3.25, 2 La 3.37

---

Material: Na2LaMg2
Method: DFT, GGA-PBE
State: relaxed

Values from the calculation:
- V (Å³ per cell) = 318
- excess energy over the best structure of this formula in the dataset (meV/atom) = 6

abc: 4.4844 4.4844 15.8086
angles: 90.00 90.00 90.00
With the nearest neighbours (Å) after each atom.
Space group I4/mmm (No. 139)
Asymmetric unit:
Na (0.0000, 0.5000, 0.2500) [4 per cell]  4 Na 3.17, 4 Mg 3.33
La (0.0000, 0.0000, 0.0000) [2 per cell]  8 Mg 3.51
Mg (0.0000, 0.0000, 0.4054) [4 per cell]  1 Mg 2.99, 4 Na 3.33

---

Material: Na2LaMg2
Method: DFT, GGA-PBE
State: relaxed

Values from the calculation:
- V (Å³ per cell) = 298
- excess energy over the best structure of this formula in the dataset (meV/atom) = 0

abc: 9.3480 9.3480 3.4111
angles: 90.00 90.00 90.00
With the nearest neighbours (Å) after each atom.
Space group P4/mbm (No. 127)
Asymmetric unit:
Na (0.1167, 0.3833, 0.0000) [4 per cell]  3 Na 3.09-3.41, 6 Mg 3.12-3.36
La (0.0000, 0.0000, 0.0000) [2 per cell]  2 La 3.41, 4 Na 3.75, 8 Mg 3.82
Mg (0.1854, 0.6854, 0.5000) [4 per cell]  6 Na 3.12-3.36, 2 Mg 3.41